1.
Sr2AcIrO6: relaxed, PBE.

CIF file:
```
data_Sr2AcIrO6
_symmetry_space_group_name_H-M 'P 1 21/c 1'
_symmetry_Int_Tables_number 14
_symmetry_space_group_name_Hall '-P 2ybc'
_cell_length_a 5.9742
_cell_length_b 6.1342
_cell_length_c 10.2956
_cell_angle_alpha 90.00
_cell_angle_beta 124.03
_cell_angle_gamma 90.00
loop_
_atom_site_label
_atom_site_type_symbol
_atom_site_fract_x
_atom_site_fract_y
_atom_site_fract_z
_atom_site_occupancy
Sr1 Sr 0.2308 0.0484 0.2493 1
Ac1 Ac 0.5000 0.0000 0.0000 1
Ir1 Ir 0.0000 0.0000 0.5000 1
O1 O 0.1165 0.2332 0.9394 1
O2 O 0.2148 0.6862 0.9482 1
O3 O 0.3225 0.0392 0.7203 1
```

## Properties
Formation energy from raw total energies, meV per atom: -2232
DOS at the Fermi energy, states/eV/atom: 0.3927

=====

2.
Ac2TbIrO8: relaxed, PBE.

CIF file:
```
data_Ac2TbIrO8
_symmetry_space_group_name_H-M 'P 1 2/m 1'
_symmetry_Int_Tables_number 10
_symmetry_space_group_name_Hall '-P 2y'
_cell_length_a 4.5745
_cell_length_b 7.2622
_cell_length_c 5.5623
_cell_angle_alpha 90.00
_cell_angle_beta 96.57
_cell_angle_gamma 90.00
loop_
_atom_site_label
_atom_site_type_symbol
_atom_site_fract_x
_atom_site_fract_y
_atom_site_fract_z
_atom_site_occupancy
Ac1 Ac 0.0000 0.2426 0.0000 1
Tb1 Tb 0.5000 0.5000 0.5000 1
Ir1 Ir 0.5000 0.0000 0.5000 1
O1 O 0.0838 0.5000 0.2524 1
O2 O 0.1211 0.0000 0.3451 1
O3 O 0.4251 0.2097 0.7209 1
```

## Properties
Formation energy from raw total energies, meV per atom: -2228
DOS at the Fermi energy, states/eV/atom: 0.4310

=====

3.
Ac2TbIr3O12: relaxed, PBE.

CIF file:
```
data_Ac2TbIr3O12
_symmetry_space_group_name_H-M 'R -3 m'
_symmetry_Int_Tables_number 166
_symmetry_space_group_name_Hall '-R 3 2"'
_cell_length_a 7.2349
_cell_length_b 7.2349
_cell_length_c 15.9988
_cell_angle_alpha 90.00
_cell_angle_beta 90.00
_cell_angle_gamma 120.00
loop_
_atom_site_label
_atom_site_type_symbol
_atom_site_fract_x
_atom_site_fract_y
_atom_site_fract_z
_atom_site_occupancy
Ac1 Ac 0.0000 0.0000 0.1166 1
Tb1 Tb 0.0000 0.0000 0.5000 1
Ir1 Ir 0.0000 0.5000 0.0000 1
O1 O 0.0375 0.5188 0.8788 1
O2 O 0.0501 0.5251 0.3149 1
```

## Properties
Formation energy from raw total energies, meV per atom: -1783
DOS at the Fermi energy, states/eV/atom: 0.5557

=====

4.
AcTc2IrO8: relaxed, PBE.

CIF file:
```
data_AcTc2IrO8
_symmetry_space_group_name_H-M 'P 1 2/m 1'
_symmetry_Int_Tables_number 10
_symmetry_space_group_name_Hall '-P 2y'
_cell_length_a 4.9717
_cell_length_b 6.2448
_cell_length_c 4.9788
_cell_angle_alpha 90.00
_cell_angle_beta 91.74
_cell_angle_gamma 90.00
loop_
_atom_site_label
_atom_site_type_symbol
_atom_site_fract_x
_atom_site_fract_y
_atom_site_fract_z
_atom_site_occupancy
Ac1 Ac 0.0000 0.0000 0.0000 1
Tc1 Tc 0.5000 0.2745 0.5000 1
Ir1 Ir 0.0000 0.5000 0.0000 1
O1 O 0.2244 0.2922 0.2220 1
O2 O 0.2886 0.5000 0.7084 1
O3 O 0.3392 0.0000 0.6582 1
```

## Properties
Formation energy from raw total energies, meV per atom: -1538
DOS at the Fermi energy, states/eV/atom: 0.4250

=====

5.
AcTe2IrO8: relaxed, PBE.

CIF file:
```
data_AcTe2IrO8
_symmetry_space_group_name_H-M 'I -4 m 2'
_symmetry_Int_Tables_number 119
_symmetry_space_group_name_Hall 'I -4 -2'
_cell_length_a 7.2170
_cell_length_b 7.2170
_cell_length_c 7.6956
_cell_angle_alpha 90.00
_cell_angle_beta 90.00
_cell_angle_gamma 90.00
loop_
_atom_site_label
_atom_site_type_symbol
_atom_site_fract_x
_atom_site_fract_y
_atom_site_fract_z
_atom_site_occupancy
Ac1 Ac 0.0000 0.0000 0.0000 1
Te1 Te 0.0000 0.0000 0.5000 1
Te2 Te 0.0000 0.5000 0.2500 1
Ir1 Ir 0.0000 0.5000 0.7500 1
O1 O 0.0000 0.2236 0.6880 1
O2 O 0.0000 0.3046 0.1028 1
```

## Properties
Formation energy from raw total energies, meV per atom: -1016
DOS at the Fermi energy, states/eV/atom: 0.2484

=====

6.
AcTiIrO6: relaxed, PBE.

CIF file:
```
data_AcTiIrO6
_symmetry_space_group_name_H-M 'P -3 1 c'
_symmetry_Int_Tables_number 163
_symmetry_space_group_name_Hall '-P 3 2c'
_cell_length_a 5.2574
_cell_length_b 5.2574
_cell_length_c 10.7597
_cell_angle_alpha 90.00
_cell_angle_beta 90.00
_cell_angle_gamma 120.00
loop_
_atom_site_label
_atom_site_type_symbol
_atom_site_fract_x
_atom_site_fract_y
_atom_site_fract_z
_atom_site_occupancy
Ac1 Ac 0.0000 0.0000 0.0000 1
Ti1 Ti 0.3333 0.6667 0.2500 1
Ir1 Ir 0.3333 0.6667 0.7500 1
O1 O 0.0006 0.3730 0.1485 1
```

## Properties
Formation energy from raw total energies, meV per atom: -2256
DOS at the Fermi energy, states/eV/atom: 0.4561

=====

7.
Ac3TlIrO: relaxed, PBE.

CIF file:
```
data_Ac3TlIrO
_symmetry_space_group_name_H-M 'P 1 21/m 1'
_symmetry_Int_Tables_number 11
_symmetry_space_group_name_Hall '-P 2yb'
_cell_length_a 9.5043
_cell_length_b 4.3606
_cell_length_c 9.9744
_cell_angle_alpha 90.00
_cell_angle_beta 104.58
_cell_angle_gamma 90.00
loop_
_atom_site_label
_atom_site_type_symbol
_atom_site_fract_x
_atom_site_fract_y
_atom_site_fract_z
_atom_site_occupancy
Ac1 Ac 0.0540 0.2500 0.3444 1
Ac2 Ac 0.3234 0.2500 0.9654 1
Ac3 Ac 0.3759 0.7500 0.6492 1
Tl1 Tl 0.3079 0.7500 0.2653 1
Ir1 Ir 0.1631 0.2500 0.6526 1
O1 O 0.4192 0.7500 0.9071 1
```

## Properties
Formation energy from raw total energies, meV per atom: -1267
DOS at the Fermi energy, states/eV/atom: 0.6196

=====

8.
Ac2Tl2IrO6: relaxed, PBE.

CIF file:
```
data_Ac2Tl2IrO6
_symmetry_space_group_name_H-M 'C 1 2/m 1'
_symmetry_Int_Tables_number 12
_symmetry_space_group_name_Hall '-C 2y'
_cell_length_a 6.2858
_cell_length_b 10.7676
_cell_length_c 6.6560
_cell_angle_alpha 90.00
_cell_angle_beta 103.46
_cell_angle_gamma 90.00
loop_
_atom_site_label
_atom_site_type_symbol
_atom_site_fract_x
_atom_site_fract_y
_atom_site_fract_z
_atom_site_occupancy
Ac1 Ac 0.0000 0.1621 0.0000 1
Tl1 Tl 0.0000 0.3451 0.5000 1
Ir1 Ir 0.0000 0.5000 0.0000 1
O1 O 0.1830 0.3541 0.1596 1
O2 O 0.2138 0.5000 0.8018 1
```

## Properties
Formation energy from raw total energies, meV per atom: -1700
DOS at the Fermi energy, states/eV/atom: 0.6973

=====

- Which value of formation energy from raw total energies does entry 2 give?
  -2228 meV per atom